First-principles (PBE) data for an optimized crystal structure of Ir3Pb, as listed in the Alexandria database.

Calculated values
Final energy, eV/atom: -6.994
Volume, Å³/f.u.: 69
Energy of formation from the pure elements, kcal/mol of atoms: 13.356

The structure in POSCAR format:
```
Ir3Pb
1.0
-3.531 0.283 8.726
-1.252 -1.486 9.215
-0.889 1.417 9.268
Ir Pb
3 1
Direct
0.758 0.758 0.758
0.500 0.500 0.500
0.242 0.242 0.242
0.000 0.000 0.000
```